Pr2PuGe4Ir3 | GGA-PBE | optimized geometry

Calculated values
As for the calculated volume: 20.7 Å³ per atom. The calculation puts the energy of formation at -629.9 meV per atom.

Lattice parameters (Å, degrees): 4.2997 4.2997 11.1979 90.00 90.00 90.00
Last column: nearest neighbours and their distance in Å.
Space group P-4m2 (No. 115)
Inequivalent atoms, fractional coordinates:
Pr: 0.0000 0.5000 0.2307 (multiplicity 2)  8 Ge 3.24-3.36, 4 Ir 3.31
Pu: 0.0000 0.0000 0.5000 (multiplicity 1)  4 Ge 2.87, 4 Ir 3.04
Ge: 0.0000 0.0000 0.0000 (multiplicity 1)  4 Ir 2.50
Ge: 0.0000 0.5000 0.6701 (multiplicity 2)  1 Ir 2.43
Ge: 0.5000 0.5000 0.0000 (multiplicity 1)  4 Ir 2.50
Ir: 0.0000 0.5000 0.8869 (multiplicity 2)  5 Ge 2.43-2.50
Ir: 0.5000 0.5000 0.5000 (multiplicity 1)  4 Ge 2.87, 4 Pu 3.04

=====

LiLa2HoS5 | GGA-PBE | optimized geometry

Calculated values
As for the calculated volume: 22.4 Å³ per atom. Its formation energy without anion corrections is -2.01 eV per atom.

Lattice parameters (Å, degrees): 4.0401 16.6133 12.0201 90.00 90.00 90.00
Last column: nearest neighbours and their distance in Å.
Space group Cmc2_1 (No. 36)
Inequivalent atoms, fractional coordinates:
Li: 0.0000 0.0161 0.0000 (multiplicity 4)  4 S 2.33-2.57
La: 0.0000 0.3750 0.8196 (multiplicity 4)  8 S 2.90-3.15
La: 0.0000 0.3916 0.2053 (multiplicity 4)  8 S 2.95-3.15
Ho: 0.0000 0.3022 0.5235 (multiplicity 4)  6 S 2.62-2.76
S: 0.0000 0.0003 0.3029 (multiplicity 4)  1 Li 2.38
S: 0.0000 0.1382 0.5197 (multiplicity 4)  1 Li 2.57, 1 Ho 2.73
S: 0.0000 0.1925 0.8699 (multiplicity 4)  2 Ho 2.74
S: 0.0000 0.2125 0.1790 (multiplicity 4)  2 Ho 2.76, 3 La 2.99-3.01
S: 0.0000 0.4529 0.5873 (multiplicity 4)  2 Li 2.33

=====

BePtAu3 | GGA-PBE | optimized geometry

Calculated values
As for the calculated volume: 26.1 Å³ per atom. The calculation puts the energy of formation at 1205.4 meV per atom.

Lattice parameters (Å, degrees): 5.0695 5.0695 5.0695 90.00 90.00 90.00
Last column: nearest neighbours and their distance in Å.
Space group Pm-3m (No. 221)
Inequivalent atoms, fractional coordinates:
Be: 0.0000 0.0000 0.0000 (multiplicity 1)  12 Au 3.58
Pt: 0.5000 0.5000 0.5000 (multiplicity 1)  6 Au 2.53
Au: 0.0000 0.5000 0.5000 (multiplicity 3)  2 Pt 2.53

=====

calculated volume of number 1 (Pr2PuGe4Ir3)?
20.7 Å³ per atom

=====

Which value of calculated volume does entry 3 give?
26.1 Å³ per atom

=====

The lowest calculated volume belongs to which entry?
Pr2PuGe4Ir3